Computed, not measured: a geometry-optimized BaCo2O4 structure at the PBE with a Hubbard U level of DFT.

Cell: 6.3199 6.3199 6.3199 Å, 114.69 99.46 114.69°
Closest atoms and distances in Å follow each position.
Fractional coordinates of all 14 atoms:
O  0.5494  0.6881  0.8613  3 Co 1.98-2.14
O  0.6113  0.1881  0.7994  3 Co 1.98-2.14
O  0.2006  0.8119  0.3887  3 Co 1.98-2.14
O  0.1387  0.3119  0.4506  3 Co 1.98-2.14
O  0.1733  0.3119  0.8613  3 Co 1.98-2.14
O  0.5767  0.1881  0.3887  3 Co 1.98-2.14
O  0.6113  0.8119  0.4233  3 Co 1.98-2.14
O  0.1387  0.6881  0.8267  3 Co 1.98-2.14
Ba  0.7500  0.5000  0.2500  4 O 2.41
Ba  0.0000  0.0000  0.0000  4 O 2.41
Co  0.3750  0.7500  0.1250  6 O 1.98-2.14
Co  0.3750  0.2500  0.6250  6 O 1.98-2.14
Co  0.3750  0.7500  0.6250  6 O 1.98-2.14
Co  0.8750  0.2500  0.6250  6 O 1.98-2.14

The value obtained for the total DFT energy (no corrections) is -5.784 eV/atom.